(1)
The following is a DFT calculation (PBE) of an optimized crystal structure of Nd2SmDy3Er6.

Results
volume	380	Å³/f.u.
energy	-4.60	eV per atom
energy relative to the elements	0.019	eV per atom
size of the total moment	0.00	μB/f.u.

```
Nd2SmDy3Er6
1.0
-2.1998 -3.6159 -4.4768
6.0008 1.3849 0.1677
0.7030 -8.5655 7.9813
Er Nd Dy Sm
6 2 3 1
Direct
0.0849 0.4180 0.2530
0.2481 0.2481 0.7469
0.5820 0.9151 0.7470
0.4180 0.0849 0.2530
0.9151 0.5820 0.7470
0.7519 0.7519 0.2531
0.6667 0.3333 0.0000
0.3333 0.6667 0.0000
0.8334 0.1666 0.5000
0.1666 0.8334 0.5000
0.5000 0.5000 0.5000
0.0000 0.0000 0.0000
```


(2)
The following is a DFT calculation (PBE) of an optimized crystal structure of IrRhNO2.

Results
volume	60	Å³/f.u.
energy	-6.20	eV per atom
formation energy without anion corrections	0.686	eV per atom
size of the total moment	2.38	μB/f.u.

```
IrRhNO2
1.0
-0.8949 2.6269 2.8592
2.5702 -1.7985 2.4568
2.7475 2.2621 -1.2184
O N Rh Ir
2 1 1 1
Direct
0.5000 0.0000 0.0000
0.0000 0.5000 0.0000
0.0000 0.0000 0.5000
0.5000 0.5000 0.5000
0.0000 0.0000 0.0000
```


(3)
The following is a DFT calculation (PBE) of an optimized crystal structure of CaIn2Ge.

Results
volume	109	Å³/f.u.
energy	-3.25	eV per atom
energy relative to the elements	-0.225	eV per atom
size of the total moment	0.00	μB/f.u.

```
CaIn2Ge
1.0
-3.3384 7.9043 -0.2048
-7.8990 -3.3439 -0.2998
-5.7412 2.3050 2.7006
In Ge Ca
4 2 2
Direct
0.0636 0.6250 0.2500
0.3750 0.3136 0.7500
0.8750 0.9364 0.7500
0.6864 0.1250 0.2500
0.0000 0.0000 0.0000
0.7500 0.2500 0.5000
0.2500 0.7500 0.5000
0.5000 0.5000 0.0000
```


(4)
The following is a DFT calculation (PBE) of an optimized crystal structure of Ba2ZrC.

Results
volume	144	Å³/f.u.
energy	-4.89	eV per atom
energy relative to the elements	0.512	eV per atom
size of the total moment	0.00	μB/f.u.

```
Ba2ZrC
1.0
-1.6527 -5.3492 10.0099
10.0834 -5.3349 -1.1860
5.2082 -3.6974 5.4548
Ba Zr C
4 2 2
Direct
0.4588 0.1250 0.2500
0.3750 0.5412 0.7500
0.2912 0.6250 0.2500
0.8750 0.7088 0.7500
0.7500 0.2500 0.5000
0.0000 0.0000 0.0000
0.5000 0.5000 0.0000
0.2500 0.7500 0.5000
```


(5)
The following is a DFT calculation (PBE) of an optimized crystal structure of Tc2TeSe.

Results
volume	69	Å³/f.u.
E above lowest polymorph	311	meV/atom
energy	-6.54	eV per atom
formation energy without anion corrections	0.299	eV per atom
size of the total moment	0.00	μB/f.u.

```
Tc2TeSe
1.0
-0.2557 -7.8532 2.0410
1.2636 -7.9855 -0.7338
2.8676 -7.3479 1.9206
Tc Te Se
2 1 1
Direct
0.0030 0.0030 0.0030
0.4970 0.4970 0.4970
0.2500 0.2500 0.2500
0.7500 0.7500 0.7500
```


(6)
The following is a DFT calculation (PBE) of an optimized crystal structure of HPb.

Results
volume	40	Å³/f.u.
E above lowest polymorph	19	meV/atom
energy	-3.16	eV per atom
size of the total moment	0.00	μB/f.u.

```
HPb
1.0
0.4438 2.3819 -2.3040
4.3490 -3.1904 -2.4606
-3.1611 -4.2259 -0.1079
H Pb
2 2
Direct
0.8892 0.7500 0.0059
0.1108 0.2500 0.9941
0.7658 0.2500 0.4942
0.2342 0.7500 0.5058
```


(7)
The following is a DFT calculation (PBE) of an optimized crystal structure of Pr6As3PS2.

Results
volume	321	Å³/f.u.
energy	-6.40	eV per atom
formation energy without anion corrections	-1.711	eV per atom
size of the total moment	0.00	μB/f.u.

```
Pr6As3PS2
1.0
4.2357 0.0000 0.0000
0.0000 8.4416 0.3089
-2.1179 -2.4237 8.8919
Pr As S P
6 3 2 1
Direct
0.9995 0.7554 0.9991
0.3341 0.4171 0.6682
0.6643 0.0821 0.3286
0.6659 0.5829 0.3318
0.0005 0.2446 0.0009
0.3357 0.9179 0.6714
0.8325 0.1677 0.6651
0.1675 0.8323 0.3349
0.5000 0.5000 0.0000
0.1676 0.3350 0.3352
0.8324 0.6650 0.6648
0.5000 0.0000 0.0000
```


(8)
The following is a DFT calculation (PBE) of an optimized crystal structure of CaZr2Hg2.

Results
volume	122	Å³/f.u.
E above lowest polymorph	0	meV/atom
energy	-4.00	eV per atom
energy relative to the elements	-0.062	eV per atom
size of the total moment	0.00	μB/f.u.

```
CaZr2Hg2
1.0
-1.5065 -6.0302 6.1096
7.4435 2.1722 3.9794
-1.5733 2.1730 1.7568
Hg Zr Ca
4 4 2
Direct
0.6783 0.8217 0.5000
0.3217 0.1783 0.5000
0.1783 0.6783 0.5000
0.8217 0.3217 0.5000
0.1178 0.3822 0.0000
0.8822 0.6178 0.0000
0.3822 0.8822 0.0000
0.6178 0.1178 0.0000
0.0000 0.0000 0.0000
0.5000 0.5000 0.0000
```